The following is a DFT calculation (GGA-PBE) of crystalline MgGaMo2Rh at its relaxed geometry.

extended XYZ file:
```
5
Lattice="4.670 0.000 0.000 0.000 4.571 0.000 0.000 0.000 4.670" Properties=species:S:1:pos:R:3 pbc="T T T"
Ga 0.000 0.000 0.000
Mo 2.335 0.000 0.000
Mo 0.000 0.000 2.335
Mg 2.335 2.285 2.335
Rh 0.000 2.285 0.000
```

- Space-group type: P4/mmm
- VASP energy: -27.968 eV for the cell shown
- D(E_F): 7.09 states/eV per cell


The following is a DFT calculation (GGA-PBE) of crystalline MgGaMoRu at its relaxed geometry.

extended XYZ file:
```
4
Lattice="4.422 0.000 0.000 2.211 3.830 0.000 2.211 1.277 3.611" Properties=species:S:1:pos:R:3 pbc="T T T"
Mg 4.422 2.553 1.805
Ru 6.633 3.830 2.708
Ga 2.211 1.277 0.903
Mo 0.000 0.000 0.000
```

- Space-group type: F-43m
- VASP energy: -24.863 eV for the cell shown
- D(E_F): 3.68 states/eV per cell


The following is a DFT calculation (GGA-PBE) of crystalline MgGaMoS4 at its relaxed geometry.

extended XYZ file:
```
14
Lattice="-3.663 3.705 5.271 3.663 -3.705 5.271 3.663 3.705 -5.271" Properties=species:S:1:pos:R:3 pbc="T T T"
S 3.663 -0.157 2.492
S 5.344 1.852 -0.132
S 0.000 3.861 2.778
S 0.000 0.157 7.763
S 1.682 1.852 5.403
S 3.663 3.548 -2.492
S -1.682 1.852 5.403
S 1.981 1.852 -0.132
Mo 0.000 0.000 5.271
Mo 3.663 0.000 0.000
Mg 0.000 1.852 1.352
Mg 3.663 1.852 3.919
Ga 1.831 -1.852 2.635
Ga 1.831 1.852 -2.635
```

- Space-group type: Imma
- ΔE_f (raw): -0.715 eV per atom
- VASP energy: -73.931 eV for the cell shown
- D(E_F): 4.31 states/eV per cell


The following is a DFT calculation (GGA-PBE) of crystalline Mg2Ga3MoS8 at its relaxed geometry.

extended XYZ file:
```
14
Lattice="-5.257 -3.837 -3.551 1.748 -5.923 -4.102 -1.859 -6.827 2.214" Properties=species:S:1:pos:R:3 pbc="T T T"
Mg -0.679 -2.099 -0.688
Mg -4.688 -14.487 -4.750
Ga -1.754 -4.880 -3.827
Ga -0.055 -6.375 -0.944
Ga -3.558 -5.332 -0.668
S -1.574 -10.503 -2.402
S -3.118 -9.144 -5.022
S -0.610 -7.032 -3.287
S -3.966 -12.254 -4.018
S -1.402 -4.332 -1.420
S -4.758 -9.555 -2.152
S -3.793 -6.084 -3.037
S -2.249 -7.442 -0.417
Mo -2.684 -8.293 -2.719
```

- Space-group type: R-3m
- ΔE_f (raw): -0.761 eV per atom
- VASP energy: -66.773 eV for the cell shown
- D(E_F): 0.62 states/eV per cell


The following is a DFT calculation (GGA-PBE) of crystalline MgGaTcMo at its relaxed geometry.

extended XYZ file:
```
4
Lattice="-4.064 -0.277 1.745 -2.939 -2.865 -1.672 -1.172 -3.584 2.328" Properties=species:S:1:pos:R:3 pbc="T T T"
Mg 0.000 0.000 0.000
Tc -6.132 -5.044 1.801
Mo -4.088 -3.363 1.201
Ga -2.044 -1.681 0.600
```

- Space-group type: F-43m
- VASP energy: -25.933 eV for the cell shown
- D(E_F): 1.33 states/eV per cell


The following is a DFT calculation (GGA-PBE) of crystalline Mg2TlGaMo at its relaxed geometry.

extended XYZ file:
```
5
Lattice="-3.329 -4.113 -0.044 3.551 -2.844 -2.788 2.125 -1.768 4.512" Properties=species:S:1:pos:R:3 pbc="T T T"
Mo 0.000 0.000 0.000
Mg -1.664 -2.056 -0.022
Mg 1.063 -0.884 2.256
Ga 1.174 -4.363 0.840
Tl 1.776 -1.422 -1.394
```

- Space-group type: P4/mmm
- VASP energy: -14.817 eV for the cell shown
- D(E_F): 4.54 states/eV per cell


The following is a DFT calculation (GGA-PBE) of crystalline Mg2VGaMo at its relaxed geometry.

extended XYZ file:
```
5
Lattice="-0.558 1.262 4.676 3.022 -3.347 1.264 3.683 3.167 -0.416" Properties=species:S:1:pos:R:3 pbc="T T T"
Ga 1.511 -1.674 0.632
Mo 3.073 0.541 2.762
Mg 1.841 1.584 -0.208
Mg -0.279 0.631 2.338
V 0.000 0.000 0.000
```

- Space-group type: P4/mmm
- VASP energy: -19.221 eV for the cell shown
- D(E_F): 2.74 states/eV per cell


The following is a DFT calculation (GGA-PBE) of crystalline YMgGaMo2 at its relaxed geometry.

extended XYZ file:
```
5
Lattice="-3.534 3.187 0.609 -2.664 -3.364 2.145 1.827 1.225 4.191" Properties=species:S:1:pos:R:3 pbc="T T T"
Ga 0.000 0.000 0.000
Mo -1.332 -1.682 1.073
Mo -1.767 1.593 0.305
Mg 0.914 0.613 2.095
Y -2.185 0.524 3.473
```

- Space-group type: P4/mmm
- VASP energy: -28.942 eV for the cell shown
- D(E_F): 4.29 states/eV per cell


The following is a DFT calculation (GGA-PBE) of crystalline Mg2GaN at its relaxed geometry.

extended XYZ file:
```
8
Lattice="-5.721 1.972 -1.023 -1.816 -5.779 -0.983 -4.619 -2.311 2.964" Properties=species:S:1:pos:R:3 pbc="T T T"
Ga -7.054 -1.121 0.469
Ga 0.000 0.000 0.000
N -5.102 -4.997 0.489
N -3.769 -1.904 -1.003
Mg -9.821 -4.307 0.596
Mg -4.207 -0.326 0.113
Mg -3.755 -3.685 -0.135
Mg -6.529 -3.919 1.342
```

- Space-group type: I-42d
- ΔE_f (raw): -0.155 eV per atom
- VASP energy: -30.321 eV for the cell shown
- E above lowest polymorph: 79 kJ/mol of formula units
- D(E_F): 0.86 states/eV per cell


The following is a DFT calculation (GGA-PBE) of crystalline Mg3GaN at its relaxed geometry.

extended XYZ file:
```
5
Lattice="-1.229 -0.440 4.827 -3.251 -3.618 -1.158 3.595 -3.423 0.603" Properties=species:S:1:pos:R:3 pbc="T T T"
Ga 0.000 0.000 0.000
Mg -0.614 -0.220 2.413
Mg -1.625 -1.809 -0.579
Mg 1.797 -1.711 0.301
N -0.442 -3.741 2.136
```

- Space-group type: Pm-3m
- ΔE_f (raw): 0.981 eV per atom
- VASP energy: -11.231 eV for the cell shown
- E above lowest polymorph: 655 kJ/mol of formula units
- D(E_F): 2.14 states/eV per cell


The following is a DFT calculation (GGA-PBE) of crystalline MgGaN3 at its relaxed geometry.

extended XYZ file:
```
5
Lattice="-2.581 -1.728 -2.493 -1.313 -2.314 2.964 -2.734 2.743 0.930" Properties=species:S:1:pos:R:3 pbc="T T T"
N -1.367 1.371 0.465
N -1.291 -0.864 -1.247
N -0.657 -1.157 1.482
Ga -3.314 -0.650 0.700
Mg 0.000 0.000 0.000
```

- Space-group type: Pm-3m
- ΔE_f (raw): 1.755 eV per atom
- VASP energy: -20.820 eV for the cell shown
- D(E_F): 2.50 states/eV per cell


The following is a DFT calculation (GGA-PBE) of crystalline MgGaN at its relaxed geometry.

extended XYZ file:
```
12
Lattice="-1.318 2.286 7.183 -0.763 -3.464 0.962 5.622 -0.874 1.310" Properties=species:S:1:pos:R:3 pbc="T T T"
Mg 2.374 -2.255 4.293
Mg 1.167 0.202 5.163
Mg 0.300 -0.703 1.216
Mg 3.240 -1.350 8.239
N 4.408 -2.999 3.227
N 1.748 -1.545 6.352
N 1.793 -0.508 3.103
N -0.867 0.946 6.228
Ga -0.536 -1.775 3.716
Ga 3.048 -1.159 1.755
Ga 0.493 -0.894 7.701
Ga 4.077 -0.278 5.739
```

- Space-group type: Pnma
- ΔE_f (raw): -0.194 eV per atom
- VASP energy: -54.111 eV for the cell shown
- E above lowest polymorph: 34 kJ/mol of formula units
- D(E_F): 1.75 states/eV per cell


The following is a DFT calculation (GGA-PBE) of crystalline MgGa2N at its relaxed geometry.

extended XYZ file:
```
8
Lattice="6.861 0.000 0.000 0.000 6.861 0.000 3.430 3.430 2.491" Properties=species:S:1:pos:R:3 pbc="T T T"
N 3.430 3.430 0.000
N 3.430 6.861 1.246
Ga 2.253 5.145 0.623
Ga 5.145 5.683 1.868
Ga 4.607 1.715 0.623
Ga 8.576 8.038 1.868
Mg 6.861 3.430 1.246
Mg 0.000 0.000 0.000
```

- Space-group type: I-42d
- ΔE_f (raw): 0.080 eV per atom
- VASP energy: -31.306 eV for the cell shown
- E above lowest polymorph: 0 kJ/mol of formula units
- D(E_F): 2.28 states/eV per cell


The following is a DFT calculation (GGA-PBE) of crystalline Mg6Ga2N at its relaxed geometry.

extended XYZ file:
```
18
Lattice="-2.157 -4.371 3.692 5.698 -1.286 1.807 -0.732 5.789 6.428" Properties=species:S:1:pos:R:3 pbc="T T T"
Mg 0.506 1.497 4.575
Mg -0.185 1.463 1.630
Mg 2.648 -4.224 4.109
Mg 1.217 1.529 7.593
Mg 2.303 -1.365 7.352
Mg 3.390 0.849 5.486
Mg -0.169 -3.591 3.219
Mg 2.995 -1.331 10.297
Mg 0.162 4.356 7.818
Mg 2.978 3.723 8.708
Mg -0.581 -0.717 6.441
Mg 1.592 -1.397 4.334
Ga 4.070 0.871 8.472
Ga 2.298 3.698 5.725
Ga 0.511 -3.566 6.202
Ga -1.261 -0.739 3.455
N 1.770 -2.828 2.750
N -0.366 2.894 3.214
```

- Space-group type: I4/mmm
- ΔE_f (raw): -0.268 eV per atom
- VASP energy: -52.723 eV for the cell shown
- D(E_F): 6.63 states/eV per cell


The following is a DFT calculation (GGA-PBE) of crystalline MgGaN3 at its relaxed geometry.

extended XYZ file:
```
5
Lattice="-2.437 -1.394 -2.668 -2.658 -0.615 2.749 -1.413 3.561 -0.570" Properties=species:S:1:pos:R:3 pbc="T T T"
N -1.329 -0.307 1.374
N -0.706 1.780 -0.285
N -1.218 -0.697 -1.334
Ga 0.000 0.000 0.000
Mg -3.254 0.776 -0.245
```

- Space-group type: Pm-3m
- ΔE_f (raw): 1.190 eV per atom
- VASP energy: -23.647 eV for the cell shown
- D(E_F): 3.34 states/eV per cell


The following is a DFT calculation (GGA-PBE) of crystalline MgGaN at its relaxed geometry.

extended XYZ file:
```
6
Lattice="-2.155 2.234 0.204 -2.047 -1.842 -1.448 -0.478 -3.386 8.327" Properties=species:S:1:pos:R:3 pbc="T T T"
Ga -4.311 -2.538 5.981
Ga -0.369 -0.456 1.101
Mg -1.582 -1.957 4.726
Mg -3.098 -1.037 2.357
N -0.928 -1.148 2.773
N -3.752 -1.846 4.310
```

- Space-group type: I4/mmm
- ΔE_f (raw): -0.311 eV per atom
- VASP energy: -27.762 eV for the cell shown
- E above lowest polymorph: 0 kJ/mol of formula units
- D(E_F): 1.97 states/eV per cell


The following is a DFT calculation (GGA-PBE) of crystalline MgGa2N at its relaxed geometry.

extended XYZ file:
```
4
Lattice="0.000 3.205 3.205 3.205 0.000 3.205 3.205 3.205 0.000" Properties=species:S:1:pos:R:3 pbc="T T T"
N 0.000 0.000 0.000
Ga 4.808 4.808 4.808
Ga 1.603 1.603 1.603
Mg 3.205 3.205 3.205
```

- Space-group type: Fm-3m
- ΔE_f (raw): 0.897 eV per atom
- VASP energy: -12.385 eV for the cell shown
- E above lowest polymorph: 315 kJ/mol of formula units
- D(E_F): 2.63 states/eV per cell


The following is a DFT calculation (GGA-PBE) of crystalline Mg2GaN at its relaxed geometry.

extended XYZ file:
```
4
Lattice="3.183 0.000 0.000 1.591 2.756 0.000 1.591 0.919 7.767" Properties=species:S:1:pos:R:3 pbc="T T T"
Mg 1.591 0.919 4.927
Mg 4.774 2.756 2.840
Ga 0.000 0.000 0.000
N 3.183 1.838 3.883
```

- Space-group type: R-3m
- ΔE_f (raw): -0.360 eV per atom
- VASP energy: -15.982 eV for the cell shown
- E above lowest polymorph: 0 kJ/mol of formula units
- D(E_F): 1.63 states/eV per cell


The following is a DFT calculation (GGA-PBE) of crystalline MgGa3N at its relaxed geometry.

extended XYZ file:
```
5
Lattice="-4.425 -2.612 0.218 2.079 -3.758 -2.829 1.596 -2.346 4.289" Properties=species:S:1:pos:R:3 pbc="T T T"
Ga 0.798 -1.173 2.145
Ga -2.212 -1.306 0.109
Ga 1.039 -1.879 -1.414
Mg 0.000 0.000 0.000
N -0.375 -4.358 0.839
```

- Space-group type: Pm-3m
- ΔE_f (raw): 1.427 eV per atom
- VASP energy: -11.865 eV for the cell shown
- E above lowest polymorph: 508 kJ/mol of formula units
- D(E_F): 1.64 states/eV per cell


The following is a DFT calculation (GGA-PBE) of crystalline Mg2Ga2N3 at its relaxed geometry.

extended XYZ file:
```
14
Lattice="-2.411 -5.230 -0.736 4.422 -1.619 -2.977 1.091 -4.468 4.052" Properties=species:S:1:pos:R:3 pbc="T T T"
N 2.175 -5.011 1.311
N -0.761 -6.993 2.107
N 3.862 -4.325 -1.768
N 0.927 -6.307 -0.972
N 0.000 0.000 0.000
N 1.005 -3.425 -1.857
Ga 0.878 -6.660 1.001
Ga 0.964 -3.635 2.123
Ga 2.224 -4.657 -0.663
Ga 2.138 -7.683 -1.785
Mg 1.796 -9.715 1.058
Mg 1.305 -1.603 -0.719
Mg -0.684 -3.931 -0.560
Mg 3.786 -7.387 0.898
```

- Space-group type: P2_1/c
- ΔE_f (raw): -0.256 eV per atom
- VASP energy: -72.027 eV for the cell shown
- D(E_F): 3.43 states/eV per cell


The following is a DFT calculation (GGA-PBE) of crystalline Mg2GaN at its relaxed geometry.

extended XYZ file:
```
4
Lattice="0.000 3.147 3.147 3.147 0.000 3.147 3.147 3.147 0.000" Properties=species:S:1:pos:R:3 pbc="T T T"
Ga 3.147 3.147 3.147
N 0.000 0.000 0.000
Mg 4.721 4.721 4.721
Mg 1.574 1.574 1.574
```

- Space-group type: Fm-3m
- ΔE_f (raw): 0.501 eV per atom
- VASP energy: -12.536 eV for the cell shown
- E above lowest polymorph: 332 kJ/mol of formula units
- D(E_F): 1.56 states/eV per cell


The following is a DFT calculation (GGA-PBE) of crystalline Mg3GaN at its relaxed geometry.

extended XYZ file:
```
5
Lattice="4.303 0.000 0.000 0.000 4.303 0.000 0.000 0.000 4.303" Properties=species:S:1:pos:R:3 pbc="T T T"
Mg 0.000 2.151 0.000
Mg 2.151 0.000 0.000
Mg 0.000 0.000 2.151
N 0.000 0.000 0.000
Ga 2.151 2.151 2.151
```

- Space-group type: Pm-3m
- ΔE_f (raw): -0.377 eV per atom
- VASP energy: -18.019 eV for the cell shown
- E above lowest polymorph: 0 kJ/mol of formula units
- D(E_F): 1.57 states/eV per cell


The following is a DFT calculation (GGA-PBE) of crystalline Mg3Ga2N4 at its relaxed geometry.

extended XYZ file:
```
18
Lattice="3.929 4.852 -0.004 -3.929 4.852 -0.004 0.000 0.042 5.362" Properties=species:S:1:pos:R:3 pbc="T T T"
Mg -2.923 3.791 3.008
Mg 1.024 4.884 4.018
Mg -1.024 4.863 1.337
Mg -2.923 5.977 5.028
Mg 2.923 3.770 0.327
Mg 2.923 5.955 2.347
N -2.643 5.918 2.671
N 0.765 3.356 0.150
N 2.643 3.828 2.683
N 2.643 5.939 5.352
N -2.643 3.807 0.002
N -0.765 3.377 2.831
N 0.765 6.369 2.524
N -0.765 6.390 5.205
Ga 0.939 2.944 2.027
Ga -0.939 6.802 3.327
Ga 0.939 6.781 0.646
Ga -0.939 2.965 4.708
```

- Space-group type: C2/c
- ΔE_f (raw): -0.490 eV per atom
- VASP energy: -97.106 eV for the cell shown
- D(E_F): 0.00 states/eV per cell


The following is a DFT calculation (GGA-PBE) of crystalline MgGa3N at its relaxed geometry.

extended XYZ file:
```
5
Lattice="4.406 0.000 0.000 0.000 4.406 0.000 0.000 0.000 4.406" Properties=species:S:1:pos:R:3 pbc="T T T"
N 0.000 0.000 0.000
Ga 2.203 0.000 0.000
Ga 0.000 0.000 2.203
Ga 0.000 2.203 0.000
Mg 2.203 2.203 2.203
```

- Space-group type: Pm-3m
- ΔE_f (raw): 0.375 eV per atom
- VASP energy: -17.125 eV for the cell shown
- E above lowest polymorph: 0 kJ/mol of formula units
- D(E_F): 1.27 states/eV per cell


The following is a DFT calculation (GGA-PBE) of crystalline Mg2NbGaN4 at its relaxed geometry.

extended XYZ file:
```
16
Lattice="5.288 0.000 0.000 0.000 5.887 0.000 0.000 0.000 6.692" Properties=species:S:1:pos:R:3 pbc="T T T"
N 4.728 1.891 1.668
N 4.580 5.014 3.346
N 4.601 4.997 0.000
N 1.957 0.890 3.346
N 4.728 1.891 5.023
N 2.084 3.997 1.678
N 1.935 0.874 0.000
N 2.084 3.997 5.014
Mg 2.598 1.957 1.673
Mg 2.598 1.957 5.018
Mg 5.243 3.930 1.672
Mg 5.243 3.930 5.019
Nb 5.269 0.946 0.000
Nb 2.625 4.941 3.346
Ga 2.627 4.903 0.000
Ga 5.271 0.984 3.346
```

- Space-group type: Pmn2_1
- ΔE_f (raw): -0.820 eV per atom
- VASP energy: -112.291 eV for the cell shown
- D(E_F): 0.00 states/eV per cell